Compound: Ac2Tb3PmSm6
Source: the Alexandria database
Functional: PBE
Structure: relaxed

ΔH_f (0 K) = 0.038 eV/atom
Crystal system = monoclinic
Electronic total energy = -109.44 eV per cell

Lattice parameters (Å, degrees): 6.381 11.054 12.146 90.00 100.13 90.00
Space group C2/m (No. 12)
One atom of each set of equivalent atoms:
Ac: 0.000 0.167 0.000 (multiplicity 4)
Tb: 0.000 0.000 0.500 (multiplicity 2)
Tb: 0.000 0.334 0.500 (multiplicity 4)
Pm: 0.000 0.500 0.000 (multiplicity 2)
Sm: 0.245 0.500 0.742 (multiplicity 4)
Sm: 0.249 0.166 0.742 (multiplicity 8)